DFT (PBE) results for an optimized crystal structure of Al2POs.

Output
**Energy of formation**: 0.576 eV per atom
**DOS at the Fermi energy**: 0.24 states/eV per atom
**Total magnetization**: 1.0 μB per formula unit

a = 5.7954 Å, b = 5.7954 Å, c = 10.3793 Å
α = 90.00°, β = 90.00°, γ = 90.00°
With the nearest neighbours (Å) after each atom.
Fractional coordinates of all 16 atoms:
Al 0.2372 0.2500 0.1250  2 P 2.38, 2 Os 2.47
Al 0.2500 0.7372 0.3750  2 P 2.38, 2 Os 2.47
Al 0.2500 0.7628 0.8750  2 P 2.38, 2 Os 2.47
Al 0.2628 0.2500 0.6250  2 P 2.38, 2 Os 2.47
Al 0.7372 0.7500 0.6250  2 P 2.38, 2 Os 2.47
Al 0.7500 0.2372 0.8750  2 P 2.38, 2 Os 2.47
Al 0.7500 0.2628 0.3750  2 P 2.38, 2 Os 2.47
Al 0.7628 0.7500 0.1250  2 P 2.38, 2 Os 2.47
P 0.0000 0.0000 0.0000  4 Al 2.38
P 0.0000 0.5000 0.2500  4 Al 2.38
P 0.5000 0.0000 0.7500  4 Al 2.38
P 0.5000 0.5000 0.5000  4 Al 2.38
Os 0.0000 0.0000 0.5000  4 Al 2.47
Os 0.0000 0.5000 0.7500  4 Al 2.47
Os 0.5000 0.0000 0.2500  4 Al 2.47
Os 0.5000 0.5000 0.0000  4 Al 2.47

=====

DFT (PBE) results for an optimized crystal structure of AlP2Os.

Output
**Energy of formation**: 0.012 eV per atom
**DOS at the Fermi energy**: 0.54 states/eV per atom
**Total magnetization**: 0.0 μB per formula unit

a = 3.5282 Å, b = 4.1000 Å, c = 4.2746 Å
α = 90.00°, β = 93.37°, γ = 90.00°
With the nearest neighbours (Å) after each atom.
Fractional coordinates of all 4 atoms:
Al 0.0000 0.0000 0.0000  4 P 2.60, 4 Os 2.69-2.85
P 0.3812 0.5000 0.2245  1 P 2.14, 2 Os 2.39
P 0.6188 0.5000 0.7755  1 P 2.14, 2 Os 2.39
Os 0.5000 0.0000 0.5000  4 P 2.39

=====

DFT (PBE) results for an optimized crystal structure of AlPOs2.

Output
**ΔE to the lowest computed polymorph**: 49 meV/atom
**Energy of formation**: -0.187 eV per atom
**DOS at the Fermi energy**: 0.24 states/eV per atom
**Total magnetization**: 0.0 μB per formula unit

a = 8.7459 Å, b = 2.9453 Å, c = 4.4826 Å
α = 90.00°, β = 108.21°, γ = 90.00°
With the nearest neighbours (Å) after each atom.
Fractional coordinates of all 8 atoms:
Al 0.0000 0.0000 0.0000  5 Os 2.41-2.63
Al 0.5000 0.5000 0.0000  5 Os 2.41-2.63
P 0.2625 0.5000 0.3370  5 Os 2.43-2.54
P 0.7625 0.0000 0.3370  5 Os 2.43-2.54
Os 0.0065 0.5000 0.4888  3 P 2.51-2.54, 4 Al 2.63-2.74, 2 Os 2.80
Os 0.2556 0.0000 0.9013  3 Al 2.41-2.52, 2 P 2.43
Os 0.5065 0.0000 0.4888  3 P 2.51-2.54, 4 Al 2.63-2.74, 2 Os 2.80
Os 0.7556 0.5000 0.9013  3 Al 2.41-2.52, 2 P 2.43

=====

DFT (PBE) results for an optimized crystal structure of AlPOs2.

Output
**ΔE to the lowest computed polymorph**: 97 meV/atom
**Energy of formation**: -0.139 eV per atom
**DOS at the Fermi energy**: 0.27 states/eV per atom
**Total magnetization**: 0.0 μB per formula unit

a = 5.9545 Å, b = 5.9545 Å, c = 5.9545 Å
α = 90.00°, β = 90.00°, γ = 90.00°
With the nearest neighbours (Å) after each atom.
Fractional coordinates of all 16 atoms:
Al 0.0000 0.0000 0.0000  8 Os 2.58
Al 0.0000 0.5000 0.5000  8 Os 2.58
Al 0.5000 0.0000 0.5000  8 Os 2.58
Al 0.5000 0.5000 0.0000  8 Os 2.58
P 0.0000 0.0000 0.5000  8 Os 2.58
P 0.0000 0.5000 0.0000  8 Os 2.58
P 0.5000 0.0000 0.0000  8 Os 2.58
P 0.5000 0.5000 0.5000  8 Os 2.58
Os 0.2500 0.2500 0.2500  4 Al 2.58, 4 P 2.58
Os 0.2500 0.2500 0.7500  4 Al 2.58, 4 P 2.58
Os 0.2500 0.7500 0.2500  4 Al 2.58, 4 P 2.58
Os 0.2500 0.7500 0.7500  4 Al 2.58, 4 P 2.58
Os 0.7500 0.2500 0.2500  4 Al 2.58, 4 P 2.58
Os 0.7500 0.2500 0.7500  4 Al 2.58, 4 P 2.58
Os 0.7500 0.7500 0.2500  4 Al 2.58, 4 P 2.58
Os 0.7500 0.7500 0.7500  4 P 2.58, 4 Al 2.58

=====

DFT (PBE) results for an optimized crystal structure of AlPOs2.

Output
**ΔE to the lowest computed polymorph**: 152 meV/atom
**Energy of formation**: -0.084 eV per atom
**DOS at the Fermi energy**: 0.71 states/eV per atom
**Total magnetization**: 0.0 μB per formula unit

a = 2.8714 Å, b = 2.8714 Å, c = 23.3859 Å
α = 90.00°, β = 90.00°, γ = 120.00°
With the nearest neighbours (Å) after each atom.
Fractional coordinates of all 12 atoms:
Al 0.0000 0.0000 0.0000  6 Os 2.70, 6 Al 2.87
Al 0.3333 0.6667 0.6667  6 Os 2.70, 6 Al 2.87
Al 0.6667 0.3333 0.3333  6 Os 2.70, 6 Al 2.87
P 0.0000 0.0000 0.5000  6 Os 2.43
P 0.3333 0.6667 0.1667  6 Os 2.43
P 0.6667 0.3333 0.8333  6 Os 2.43
Os 0.0000 0.0000 0.2424  3 P 2.43, 3 Al 2.70
Os 0.0000 0.0000 0.7576  3 P 2.43, 3 Al 2.70
Os 0.3333 0.6667 0.4242  3 P 2.43, 3 Al 2.70
Os 0.3333 0.6667 0.9091  3 P 2.43, 3 Al 2.70
Os 0.6667 0.3333 0.0909  3 P 2.43, 3 Al 2.70
Os 0.6667 0.3333 0.5758  3 P 2.43, 3 Al 2.70

=====

DFT (PBE) results for an optimized crystal structure of AlPOs2.

Output
**ΔE to the lowest computed polymorph**: 240 meV/atom
**Energy of formation**: 0.004 eV per atom
**DOS at the Fermi energy**: 0.65 states/eV per atom
**Total magnetization**: 0.0 μB per formula unit

a = 2.8789 Å, b = 2.8789 Å, c = 23.6382 Å
α = 90.00°, β = 90.00°, γ = 120.00°
With the nearest neighbours (Å) after each atom.
Fractional coordinates of all 12 atoms:
Al 0.0000 0.0000 0.0000  3 Os 2.58, 3 P 2.59, 6 Al 2.88
Al 0.3333 0.6667 0.6667  3 Os 2.58, 3 P 2.59, 6 Al 2.88
Al 0.6667 0.3333 0.3333  3 Os 2.58, 3 P 2.59, 6 Al 2.88
P 0.0000 0.0000 0.2495  3 Os 2.41, 3 Al 2.59
P 0.3333 0.6667 0.9162  3 Os 2.41, 3 Al 2.59
P 0.6667 0.3333 0.5829  3 Os 2.41, 3 Al 2.59
Os 0.0000 0.0000 0.5091  3 P 2.41
Os 0.0000 0.0000 0.7501  3 Al 2.58, 9 Os 2.74-2.88
Os 0.3333 0.6667 0.1758  3 P 2.41
Os 0.3333 0.6667 0.4168  3 Al 2.58, 9 Os 2.74-2.88
Os 0.6667 0.3333 0.0835  3 Al 2.58, 9 Os 2.74-2.88
Os 0.6667 0.3333 0.8425  3 P 2.41

=====

DFT (PBE) results for an optimized crystal structure of AlPOs2.

Output
**ΔE to the lowest computed polymorph**: 0 meV/atom
**Energy of formation**: -0.236 eV per atom
**DOS at the Fermi energy**: 0.20 states/eV per atom
**Total magnetization**: 0.0 μB per formula unit

a = 2.9568 Å, b = 2.9568 Å, c = 6.0471 Å
α = 90.00°, β = 90.00°, γ = 90.00°
With the nearest neighbours (Å) after each atom.
Fractional coordinates of all 4 atoms:
Al 0.0000 0.0000 0.0000  8 Os 2.63
P 0.0000 0.0000 0.5000  8 Os 2.53
Os 0.5000 0.5000 0.2638  4 P 2.53, 4 Al 2.63
Os 0.5000 0.5000 0.7362  4 P 2.53, 4 Al 2.63

=====

DFT (PBE) results for an optimized crystal structure of AlP2Os.

Output
**Energy of formation**: 0.004 eV per atom
**DOS at the Fermi energy**: 0.46 states/eV per atom
**Total magnetization**: 0.0 μB per formula unit

a = 2.8930 Å, b = 2.8930 Å, c = 27.7816 Å
α = 90.00°, β = 90.00°, γ = 120.00°
With the nearest neighbours (Å) after each atom.
Fractional coordinates of all 12 atoms:
Al 0.0000 0.0000 0.0000  3 P 2.56, 3 Os 2.70
Al 0.3333 0.6667 0.6667  3 P 2.56, 3 Os 2.70
Al 0.6667 0.3333 0.3333  3 P 2.56, 3 Os 2.70
P 0.0000 0.0000 0.5295  3 Os 2.38
P 0.0000 0.0000 0.7363  3 Al 2.56
P 0.3333 0.6667 0.1962  3 Os 2.38
P 0.3333 0.6667 0.4029  3 Al 2.56
P 0.6667 0.3333 0.0696  3 Al 2.56
P 0.6667 0.3333 0.8629  3 Os 2.38
Os 0.0000 0.0000 0.2571  3 P 2.38
Os 0.3333 0.6667 0.9238  3 P 2.38
Os 0.6667 0.3333 0.5904  3 P 2.38